## SrSn2IrPd (GGA-PBE)

Data for an optimized crystal structure of SrSn2IrPd.

E: -0.1968 hartree per atom
Density: 8.89 g/cm3
Distance to the lowest polymorph of the same formula: 0.000 eV per atom
Total magnetization: 0.01 μB per formula unit

a b c (Å): 4.6994 4.6994 10.5549
angles (deg): 90.00 90.00 90.00
Sites, in units of the cell vectors:
Sr 0.2500 0.2500 0.2469
Sr 0.7500 0.7500 0.7531
Sn 0.2500 0.2500 0.8750
Sn 0.2500 0.7500 0.5000
Sn 0.7500 0.2500 0.5000
Sn 0.7500 0.7500 0.1250
Ir 0.2500 0.2500 0.6266
Ir 0.7500 0.7500 0.3734
Pd 0.2500 0.7500 0.0000
Pd 0.7500 0.2500 0.0000

## Mg2Sc2CdAgAu2 (GGA-PBE)

Data for an optimized crystal structure of Mg2Sc2CdAgAu2.

E: -0.1387 hartree per atom
Density: 8.10 g/cm3
Total magnetization: 0.00 μB per formula unit

a b c (Å): 4.7801 4.7801 6.7574
angles (deg): 90.00 90.00 90.00
Sites, in units of the cell vectors:
Mg 0.0000 0.5000 0.2446
Mg 0.5000 0.0000 0.7554
Sc 0.0000 0.5000 0.7567
Sc 0.5000 0.0000 0.2433
Cd 0.0000 0.0000 0.5000
Ag 0.5000 0.5000 0.0000
Au 0.0000 0.0000 0.0000
Au 0.5000 0.5000 0.5000

## TbHfZr (GGA-PBE)

Data for an optimized crystal structure of TbHfZr.

E: -0.2501 hartree per atom
Density: 8.13 g/cm3
Total magnetization: 1.59 μB per formula unit

a b c (Å): 4.9844 4.9844 4.9844
angles (deg): 60.00 60.00 60.00
Sites, in units of the cell vectors:
Tb 0.0000 0.0000 0.0000
Hf 0.2500 0.2500 0.2500
Zr 0.5000 0.5000 0.5000

> Which value of total magnetization does entry 3 give?

1.59 μB per formula unit

Please write out number 1 again, unchanged.
## SrSn2IrPd (GGA-PBE)

Data for an optimized crystal structure of SrSn2IrPd.

E: -0.1968 hartree per atom
Density: 8.89 g/cm3
Distance to the lowest polymorph of the same formula: 0.000 eV per atom
Total magnetization: 0.01 μB per formula unit

a b c (Å): 4.6994 4.6994 10.5549
angles (deg): 90.00 90.00 90.00
Sites, in units of the cell vectors:
Sr 0.2500 0.2500 0.2469
Sr 0.7500 0.7500 0.7531
Sn 0.2500 0.2500 0.8750
Sn 0.2500 0.7500 0.5000
Sn 0.7500 0.2500 0.5000
Sn 0.7500 0.7500 0.1250
Ir 0.2500 0.2500 0.6266
Ir 0.7500 0.7500 0.3734
Pd 0.2500 0.7500 0.0000
Pd 0.7500 0.2500 0.0000